Material: LaBe3Pt
Method: DFT, GGA-PBEsol
State: relaxed

Computed properties:
The calculation puts the energy at -5.211 eV/atom. The value obtained for the calculated formation energy is -0.349 eV per atom. The magnetization is 0.0 μB per cell. As for the density of states at the Fermi level: 2.63 states/eV/cell.

Lattice parameters (Å, degrees): 4.3309 4.3309 4.3309 90.00 90.00 90.00
With the nearest neighbours (Å) after each atom.
Space group Pm-3m (No. 221)
Symmetry-distinct sites (fractional):
La 0.0000 0.0000 0.0000 [1 per cell]  12 Be 3.06
Be 0.0000 0.5000 0.5000 [3 per cell]  2 Pt 2.17
Pt 0.5000 0.5000 0.5000 [1 per cell]  6 Be 2.17


Material: K2ThAs2O8
Method: DFT, GGA-PBEsol
State: relaxed

Computed properties:
The calculation puts the energy at -6.925 eV/atom. The magnetization is 0.0 μB per cell. The calculation puts the formation energy without anion corrections at -2648 kJ/mol of formula units. As for the density of states at the Fermi level: 0.00 states/eV/cell.

Lattice parameters (Å, degrees): 7.7557 11.4204 9.9587 90.00 116.24 90.00
With the nearest neighbours (Å) after each atom.
Space group P2_1/c (No. 14)
Symmetry-distinct sites (fractional):
K 0.1426 0.1261 0.0412 [4 per cell]  4 O 2.61-2.81
K 0.3355 0.1208 0.4535 [4 per cell]  4 O 2.64-2.84
Th 0.2559 0.6351 0.2808 [4 per cell]  8 O 2.36-2.51
As 0.0644 0.6403 0.8542 [4 per cell]  4 O 1.71-1.72
As 0.4651 0.6333 0.6397 [4 per cell]  4 O 1.71-1.72
O 0.0273 0.0149 0.7447 [4 per cell]  1 As 1.71
O 0.0427 0.2369 0.2486 [4 per cell]  1 As 1.72
O 0.0522 0.6422 0.0215 [4 per cell]  1 As 1.71
O 0.2296 0.6040 0.5205 [4 per cell]  1 As 1.71
O 0.2943 0.6594 0.8760 [4 per cell]  1 As 1.71
O 0.4237 0.0227 0.7346 [4 per cell]  1 As 1.72
O 0.4437 0.1396 0.9893 [4 per cell]  1 As 1.72
O 0.4941 0.7349 0.2289 [4 per cell]  1 As 1.71


Material: ReMo2Os
Method: DFT, GGA-PBEsol
State: relaxed

Computed properties:
The calculation puts the energy at -12.031 eV/atom. The value obtained for the calculated formation energy is 0.240 eV per atom. The magnetization is 0.0 μB per cell. As for the density of states at the Fermi level: 4.53 states/eV/cell.

Lattice parameters (Å, degrees): 3.0742 4.3756 4.4101 90.00 90.00 90.00
With the nearest neighbours (Å) after each atom.
Space group Pmmm (No. 47)
Symmetry-distinct sites (fractional):
Re 0.0000 0.0000 0.0000 [1 per cell]  4 Mo 2.67, 4 Os 2.69
Mo 0.0000 0.5000 0.5000 [1 per cell]  4 Os 2.67, 4 Mo 2.69
Mo 0.5000 0.5000 0.0000 [1 per cell]  4 Re 2.67, 4 Mo 2.69
Os 0.5000 0.0000 0.5000 [1 per cell]  4 Mo 2.67, 4 Re 2.69


Material: BaZnRu
Method: DFT, GGA-PBEsol
State: relaxed

Computed properties:
The calculation puts the energy at -4.273 eV/atom. The value obtained for the calculated formation energy is 0.362 eV per atom. The magnetization is 0.0 μB per cell. As for the density of states at the Fermi level: 2.57 states/eV/cell.

Lattice parameters (Å, degrees): 4.2454 4.2454 4.6880 90.00 90.00 120.00
With the nearest neighbours (Å) after each atom.
Space group P-6m2 (No. 187)
Symmetry-distinct sites (fractional):
Ba 0.0000 0.0000 0.0000 [1 per cell]  6 Ru 3.39, 6 Zn 3.39
Zn 0.6667 0.3333 0.5000 [1 per cell]  3 Ru 2.45
Ru 0.3333 0.6667 0.5000 [1 per cell]  3 Zn 2.45


Material: BaTl2In
Method: DFT, GGA-PBEsol
State: relaxed

Computed properties:
The calculation puts the energy at -2.865 eV/atom. The value obtained for the calculated formation energy is -0.267 eV per atom. The magnetization is 0.0 μB per cell. As for the density of states at the Fermi level: 2.14 states/eV/cell.

Lattice parameters (Å, degrees): 3.9924 3.9924 7.7636 90.00 90.00 90.00
With the nearest neighbours (Å) after each atom.
Space group P4mm (No. 99)
Symmetry-distinct sites (fractional):
Ba 0.0000 0.0000 0.0000 [1 per cell]  6 Tl 3.63-3.93, 4 In 3.64, 4 Ba 3.99
Tl 0.0000 0.0000 0.4940 [1 per cell]  4 In 3.21, 4 Tl 3.27
Tl 0.5000 0.5000 0.7069 [1 per cell]  1 In 3.19, 4 Tl 3.27
In 0.5000 0.5000 0.2965 [1 per cell]  5 Tl 3.19-3.21


Material: Fe3PbO
Method: DFT, GGA-PBEsol
State: relaxed

Computed properties:
The calculation puts the energy at -7.211 eV/atom. The magnetization is 7.1 μB per cell. The calculation puts the formation energy without anion corrections at 8 kJ/mol of formula units. As for the density of states at the Fermi level: 2.70 states/eV/cell.

Lattice parameters (Å, degrees): 3.9903 3.9903 3.9903 90.00 90.00 90.00
With the nearest neighbours (Å) after each atom.
Space group Pm-3m (No. 221)
Symmetry-distinct sites (fractional):
Fe 0.0000 0.0000 0.5000 [3 per cell]  2 O 2.00
Pb 0.5000 0.5000 0.5000 [1 per cell]  12 Fe 2.82
O 0.0000 0.0000 0.0000 [1 per cell]  6 Fe 2.00


Material: RhSBrN2
Method: DFT, GGA-PBEsol
State: relaxed

Computed properties:
The calculation puts the energy at -5.294 eV/atom. The magnetization is 0.0 μB per cell. The calculation puts the formation energy without anion corrections at 480 kJ/mol of formula units. As for the density of states at the Fermi level: 2.51 states/eV/cell.

Lattice parameters (Å, degrees): 3.7320 3.7320 5.3228 90.00 90.00 90.00
With the nearest neighbours (Å) after each atom.
Space group P4/mmm (No. 123)
Symmetry-distinct sites (fractional):
Rh 0.0000 0.0000 0.0000 [1 per cell]  4 N 1.87
S 0.0000 0.0000 0.5000 [1 per cell]  4 Br 2.64, 2 Rh 2.66
Br 0.5000 0.5000 0.5000 [1 per cell]  4 S 2.64
N 0.0000 0.5000 0.0000 [2 per cell]  2 Rh 1.87


Material: SrMn2Tl
Method: DFT, GGA-PBEsol
State: relaxed

Computed properties:
The calculation puts the energy at -5.465 eV/atom. The value obtained for the calculated formation energy is 0.533 eV per atom. The magnetization is 14.3 μB per cell. As for the density of states at the Fermi level: 13.66 states/eV/cell.

Lattice parameters (Å, degrees): 7.9751 4.6118 5.9458 90.00 116.67 90.00
With the nearest neighbours (Å) after each atom.
Space group C2/m (No. 12)
Symmetry-distinct sites (fractional):
Sr 0.0000 0.0000 0.0000 [2 per cell]  8 Mn 3.16-3.42
Mn 0.1982 0.0000 0.5948 [4 per cell]  3 Tl 2.71, 3 Mn 2.84-2.85
Tl 0.0000 0.5000 0.5000 [2 per cell]  6 Mn 2.71